Here is a relaxed RbInTc2O8 crystal from Alexandria via LeMat-Bulk. Energies are from PBE.

Computed properties:
* formation energy (no corrections): -1.46 eV per atom
* electronic total energy: -6.8063 eV per atom
* space-group type: C2/m, No. 12
* magnetic moment: 0.051 μB per atom

Unit cell a=5.4743 b=5.4743 c=8.4156 alpha=94.92 beta=94.92 gamma=67.38
Last column: nearest neighbours and their distance in Å.
Sites, in units of the cell vectors:
Rb 0.0000 0.0000 0.0000  6 O 3.01-3.02
In 0.0000 0.0000 0.5000  6 O 2.21-2.25
Tc 0.3835 0.3835 0.7101  4 O 1.74-1.80
Tc 0.6165 0.6165 0.2899  4 O 1.74-1.80
O 0.2439 0.2439 0.5441  1 Tc 1.79
O 0.2447 0.7361 0.6923  1 Tc 1.80
O 0.2639 0.7553 0.3077  1 Tc 1.80
O 0.3052 0.3052 0.8908  1 Tc 1.74
O 0.6948 0.6948 0.1092  1 Tc 1.74
O 0.7361 0.2447 0.6923  1 Tc 1.80
O 0.7553 0.2639 0.3077  1 Tc 1.80
O 0.7561 0.7561 0.4559  1 Tc 1.79



Here is a relaxed Rb2InTe2O6 crystal from Alexandria via LeMat-Bulk. Energies are from PBE.

Computed properties:
* formation energy (no corrections): -1.11 eV per atom
* electronic total energy: -4.8152 eV per atom
* space-group type: R-3m, No. 166
* magnetic moment: 0.086 μB per atom

Unit cell a=7.0743 b=7.0743 c=7.0743 alpha=54.13 beta=54.13 gamma=54.13
Last column: nearest neighbours and their distance in Å.
Sites, in units of the cell vectors:
Rb 0.2074 0.2074 0.2074  3 O 2.92
Rb 0.7926 0.7926 0.7926  3 O 2.92
In 0.0000 0.0000 0.0000  6 O 2.22
Te 0.4133 0.4133 0.4133  3 O 1.99
Te 0.5867 0.5867 0.5867  3 O 1.99
O 0.2321 0.2321 0.7670  1 Te 1.99, 1 In 2.22
O 0.2321 0.7670 0.2321  1 Te 1.99, 1 In 2.22
O 0.2330 0.7679 0.7679  1 Te 1.99, 1 In 2.22
O 0.7670 0.2321 0.2321  1 Te 1.99, 1 In 2.22
O 0.7679 0.2330 0.7679  1 Te 1.99, 1 In 2.22
O 0.7679 0.7679 0.2330  1 Te 1.99, 1 In 2.22



Here is a relaxed RbInTe3O8 crystal from Alexandria via LeMat-Bulk. Energies are from PBE.

Computed properties:
* formation energy (no corrections): -1.29 eV per atom
* electronic total energy: -5.3468 eV per atom
* space-group type: P-1, No. 2
* magnetic moment: 0.000 μB per atom

Unit cell a=5.8662 b=7.7477 c=11.3097 alpha=79.48 beta=89.56 gamma=71.32
Last column: nearest neighbours and their distance in Å.
Sites, in units of the cell vectors:
Rb 0.1589 0.1188 0.3322  4 O 2.86-3.08
Rb 0.8411 0.8812 0.6679  4 O 2.86-3.08
In 0.0000 0.5000 0.0000  6 O 2.19-2.22
In 0.5000 0.5000 0.5000  6 O 2.19-2.22
Te 0.0642 0.3279 0.6472  3 O 1.90-1.95
Te 0.2197 0.0113 0.9169  3 O 1.90-2.11
Te 0.4842 0.5296 0.1626  3 O 1.90-1.92
Te 0.5158 0.4704 0.8374  3 O 1.90-1.92
Te 0.7803 0.9887 0.0831  3 O 1.90-2.11
Te 0.9358 0.6721 0.3528  3 O 1.90-1.95
O 0.1150 0.9652 0.1038  1 Te 1.93
O 0.1837 0.7349 0.4231  1 Te 1.90
O 0.1918 0.2616 0.9191  1 Te 1.90
O 0.2334 0.0738 0.7281  2 Te 1.95-2.11
O 0.2548 0.6301 0.9103  1 Te 1.92
O 0.2604 0.3263 0.5127  1 Te 1.90
O 0.2626 0.3971 0.1577  1 Te 1.90
O 0.3850 0.5658 0.6765  1 Te 1.90
O 0.6150 0.4342 0.3235  1 Te 1.90
O 0.7374 0.6029 0.8423  1 Te 1.90
O 0.7396 0.6737 0.4873  1 Te 1.90
O 0.7452 0.3699 0.0897  1 Te 1.92
O 0.7666 0.9262 0.2719  2 Te 1.95-2.11
O 0.8082 0.7384 0.0809  1 Te 1.90
O 0.8163 0.2651 0.5769  1 Te 1.90
O 0.8850 0.0348 0.8962  1 Te 1.93



Here is a relaxed Rb2InTeO6 crystal from Alexandria via LeMat-Bulk. Energies are from PBE.

Computed properties:
* formation energy (no corrections): -1.23 eV per atom
* electronic total energy: -4.9889 eV per atom
* space-group type: P-3m1, No. 164
* magnetic moment: 0.107 μB per atom

Unit cell a=6.4955 b=6.4955 c=5.7017 alpha=90.00 beta=90.00 gamma=120.00
Last column: nearest neighbours and their distance in Å.
Sites, in units of the cell vectors:
Rb 0.3333 0.6667 0.1489  9 O 3.03-3.29
Rb 0.6667 0.3333 0.8511  9 O 3.03-3.29
In 0.0000 0.0000 0.5000  6 O 2.24
Te 0.0000 0.0000 0.0000  6 O 1.96
O 0.1365 0.2730 0.7855  1 Te 1.96
O 0.1365 0.8635 0.7855  1 Te 1.96
O 0.2730 0.1365 0.2145  1 Te 1.96
O 0.7270 0.8635 0.7855  1 Te 1.96
O 0.8635 0.1365 0.2145  1 Te 1.96
O 0.8635 0.7270 0.2145  1 Te 1.96



Here is a relaxed RbThInO4 crystal from Alexandria via LeMat-Bulk. Energies are from PBE.

Computed properties:
* formation energy (no corrections): -2.34 eV per atom
* electronic total energy: -6.7643 eV per atom
* space-group type: Imma, No. 74
* magnetic moment: 0.000 μB per atom

Unit cell a=7.1863 b=7.1863 c=7.1863 alpha=123.10 beta=116.95 gamma=90.04
Last column: nearest neighbours and their distance in Å.
Sites, in units of the cell vectors:
Rb 0.3928 0.1428 0.2500  4 O 2.61-2.67
Rb 0.6072 0.8572 0.7500  4 O 2.61-2.67
Th 0.0000 0.5000 0.5000  6 O 2.34-2.38
Th 0.5000 0.5000 0.0000  6 O 2.34-2.38
In 0.0000 0.0000 0.5000  6 O 2.23-2.39
In 0.0000 0.5000 0.0000  6 O 2.23-2.39
O 0.1687 0.7297 0.4390  2 In 2.23, 1 Th 2.38
O 0.2093 0.2703 0.9390  2 In 2.23, 1 Th 2.38
O 0.2331 0.2815 0.5483  2 Th 2.34, 1 In 2.39, 1 Rb 2.61
O 0.2331 0.6848 0.9517  2 Th 2.34, 1 In 2.39, 1 Rb 2.61
O 0.7669 0.3152 0.0483  2 Th 2.34, 1 In 2.39, 1 Rb 2.61
O 0.7669 0.7185 0.4517  2 Th 2.34, 1 In 2.39, 1 Rb 2.61
O 0.7907 0.7297 0.0610  2 In 2.23, 1 Th 2.38
O 0.8313 0.2703 0.5610  2 In 2.23, 1 Th 2.38



Here is a relaxed Rb3TiIn3O8 crystal from Alexandria via LeMat-Bulk. Energies are from PBE.

Computed properties:
* formation energy (no corrections): -1.80 eV per atom
* electronic total energy: -5.7114 eV per atom
* space-group type: R-3m, No. 166
* magnetic moment: 0.000 μB per atom

Unit cell a=7.5967 b=7.5967 c=7.5967 alpha=51.23 beta=51.23 gamma=51.23
Last column: nearest neighbours and their distance in Å.
Sites, in units of the cell vectors:
Rb 0.0000 0.5000 0.5000  6 O 2.86-2.89
Rb 0.5000 0.0000 0.5000  6 O 2.86-2.89
Rb 0.5000 0.5000 0.0000  6 O 2.86-2.89
Ti 0.5000 0.5000 0.5000  6 O 2.04
In 0.0000 0.0000 0.5000  6 O 2.19-2.26
In 0.0000 0.5000 0.0000  6 O 2.19-2.26
In 0.5000 0.0000 0.0000  6 O 2.19-2.26
O 0.2226 0.2226 0.2226  3 In 2.19
O 0.2514 0.7066 0.7066  1 Ti 2.04, 2 In 2.26
O 0.2934 0.2934 0.7486  1 Ti 2.04, 2 In 2.26
O 0.2934 0.7486 0.2934  1 Ti 2.04, 2 In 2.26
O 0.7066 0.2514 0.7066  1 Ti 2.04, 2 In 2.26
O 0.7066 0.7066 0.2514  1 Ti 2.04, 2 In 2.26
O 0.7486 0.2934 0.2934  1 Ti 2.04, 2 In 2.26
O 0.7774 0.7774 0.7774  3 In 2.19



Here is a relaxed Rb2TlInO4 crystal from Alexandria via LeMat-Bulk. Energies are from PBE.

Computed properties:
* formation energy (no corrections): -1.23 eV per atom
* electronic total energy: -4.5884 eV per atom
* space-group type: P2/m, No. 10
* magnetic moment: 0.000 μB per atom

Unit cell a=6.0139 b=3.4701 c=6.7615 alpha=90.00 beta=107.07 gamma=90.00
Last column: nearest neighbours and their distance in Å.
Sites, in units of the cell vectors:
Rb 0.0000 0.0000 0.0000  6 O 2.91-2.92
Rb 0.5000 0.5000 0.0000  6 O 2.84-2.85
Tl 0.0000 0.5000 0.5000  6 O 2.35-2.36
In 0.5000 0.0000 0.5000  6 O 2.26-2.29
O 0.2386 0.0000 0.6818  1 In 2.26, 2 Tl 2.35
O 0.2836 0.5000 0.3208  2 In 2.29, 1 Tl 2.36
O 0.7164 0.5000 0.6792  2 In 2.29, 1 Tl 2.36
O 0.7614 0.0000 0.3182  1 In 2.26, 2 Tl 2.35



Here is a relaxed Rb3TlIn2O6 crystal from Alexandria via LeMat-Bulk. Energies are from PBE.

Computed properties:
* formation energy (no corrections): -1.32 eV per atom
* electronic total energy: -4.6916 eV per atom
* space-group type: C2/m, No. 12
* magnetic moment: 0.000 μB per atom

Unit cell a=5.9696 b=5.9696 c=6.7615 alpha=98.46 beta=98.46 gamma=120.00
Last column: nearest neighbours and their distance in Å.
Sites, in units of the cell vectors:
Rb 0.0000 0.0000 0.0000  6 O 2.83-2.90
Rb 0.3348 0.6652 0.0000  6 O 2.83-2.90
Rb 0.6652 0.3348 0.0000  6 O 2.83-2.90
Tl 0.5000 0.5000 0.5000  6 O 2.36
In 0.1669 0.8331 0.5000  6 O 2.27
In 0.8331 0.1669 0.5000  6 O 2.27
O 0.0951 0.4402 0.3207  2 In 2.27, 1 Tl 2.36
O 0.2145 0.2145 0.6788  2 In 2.27, 1 Tl 2.36
O 0.4402 0.0951 0.3207  2 In 2.27, 1 Tl 2.36
O 0.5598 0.9049 0.6793  2 In 2.27, 1 Tl 2.36
O 0.7855 0.7855 0.3212  2 In 2.27, 1 Tl 2.36
O 0.9049 0.5598 0.6793  2 In 2.27, 1 Tl 2.36



Here is a relaxed Rb3TmIn2O6 crystal from Alexandria via LeMat-Bulk. Energies are from PBE.

Computed properties:
* formation energy (no corrections): -1.89 eV per atom
* electronic total energy: -5.4375 eV per atom
* space-group type: C2/m, No. 12
* magnetic moment: 0.000 μB per atom

Unit cell a=5.9117 b=5.9117 c=6.8000 alpha=98.33 beta=98.33 gamma=120.00
Last column: nearest neighbours and their distance in Å.
Sites, in units of the cell vectors:
Rb 0.0000 0.0000 0.0000  6 O 2.88-2.89
Rb 0.3317 0.6683 0.0000  6 O 2.87-2.90
Rb 0.6683 0.3317 0.0000  6 O 2.87-2.90
Tm 0.5000 0.5000 0.5000  6 O 2.29
In 0.1666 0.8334 0.5000  6 O 2.28
In 0.8334 0.1666 0.5000  6 O 2.28
O 0.1063 0.4411 0.3235  2 In 2.28, 1 Tm 2.29
O 0.2240 0.2240 0.6767  2 In 2.28, 1 Tm 2.29
O 0.4411 0.1063 0.3235  2 In 2.28, 1 Tm 2.29
O 0.5589 0.8937 0.6765  2 In 2.28, 1 Tm 2.29
O 0.7760 0.7760 0.3233  2 In 2.28, 1 Tm 2.29
O 0.8937 0.5589 0.6765  2 In 2.28, 1 Tm 2.29



Here is a relaxed Rb3U2InO9 crystal from Alexandria via LeMat-Bulk. Energies are from PBE.

Computed properties:
* formation energy (no corrections): -2.51 eV per atom
* electronic total energy: -7.3663 eV per atom
* space-group type: P-3m1, No. 164
* magnetic moment: 0.000 μB per atom

Unit cell a=6.0894 b=6.0894 c=7.4663 alpha=90.00 beta=90.00 gamma=120.00
Last column: nearest neighbours and their distance in Å.
Sites, in units of the cell vectors:
Rb 0.0000 0.0000 0.0000  12 O 3.04
Rb 0.3333 0.6667 0.6607  12 O 3.02-3.08
Rb 0.6667 0.3333 0.3393  12 O 3.02-3.08
U 0.3333 0.6667 0.1716  6 O 2.05-2.18
U 0.6667 0.3333 0.8284  6 O 2.05-2.18
In 0.0000 0.0000 0.5000  6 O 2.24
O 0.0000 0.5000 0.0000  2 U 2.18
O 0.1727 0.3453 0.3255  1 U 2.05, 1 In 2.24
O 0.1727 0.8273 0.3255  1 U 2.05, 1 In 2.24
O 0.3453 0.1727 0.6745  1 U 2.05, 1 In 2.24
O 0.5000 0.0000 0.0000  2 U 2.18
O 0.5000 0.5000 0.0000  2 U 2.18
O 0.6547 0.8273 0.3255  1 U 2.05, 1 In 2.24
O 0.8273 0.1727 0.6745  1 U 2.05, 1 In 2.24
O 0.8273 0.6547 0.6745  1 U 2.05, 1 In 2.24



Here is a relaxed RbUInO6 crystal from Alexandria via LeMat-Bulk. Energies are from PBE.

Computed properties:
* formation energy (no corrections): -1.85 eV per atom
* electronic total energy: -6.8243 eV per atom
* space-group type: P312, No. 149
* magnetic moment: 0.231 μB per atom

Unit cell a=5.6912 b=5.6912 c=6.2940 alpha=90.00 beta=90.00 gamma=120.00
Last column: nearest neighbours and their distance in Å.
Sites, in units of the cell vectors:
Rb 0.0000 0.0000 0.0000  6 O 2.94
U 0.3333 0.6667 0.5000  6 O 2.04
In 0.6667 0.3333 0.5000  6 O 2.20
O 0.0206 0.3853 0.6798  1 U 2.04, 1 In 2.20
O 0.0206 0.6353 0.3202  1 U 2.04, 1 In 2.20
O 0.3647 0.3853 0.3202  1 U 2.04, 1 In 2.20
O 0.3647 0.9794 0.6798  1 U 2.04, 1 In 2.20
O 0.6147 0.6353 0.6798  1 U 2.04, 1 In 2.20
O 0.6147 0.9794 0.3202  1 U 2.04, 1 In 2.20